Entry from Alexandria: crystalline RbMnAgF4 at its relaxed geometry (GGA+U).

POSCAR file:
```
RbMnAgF4
1.0
-3.122 -1.211 2.860
4.046 -4.457 2.531
5.948 7.195 3.163
F Mn Ag Rb
8 2 2 2
direct
0.063 0.996 0.827
0.063 0.504 0.827
0.582 0.750 0.321
0.418 0.250 0.679
0.937 0.004 0.173
0.937 0.496 0.173
0.291 0.750 0.539
0.709 0.250 0.461
0.071 0.750 0.307
0.929 0.250 0.693
0.148 0.250 0.396
0.852 0.750 0.604
0.362 0.250 0.096
0.638 0.750 0.904
```

Summary:
- M_tot (μB per formula unit) = 5.0
- total energy (eV per atom) = -4.85
- Fermi-level density of states (states/eV/f.u.) = 0.00